[1]
DFT (GGA-PBEsol) results for a relaxed Sr2CaTe crystal.

Cell and atoms, written as POSCAR:
```
Sr2CaTe
1.0
3.678 -4.760 0.000
3.678 4.760 0.000
0.000 0.000 4.257
Sr Ca Te
2 1 1
Direct
0.000 0.500 0.000
0.500 0.000 0.000
0.000 0.000 0.500
0.500 0.500 0.500
```

Summary:
Magnetic moment = 0.0 Bohr magnetons per cell
Raw formation energy = -0.536 eV per atom
Space group = No. 65

***

[2]
DFT (GGA-PBEsol) results for a relaxed Sr2CaTe crystal.

Cell and atoms, written as POSCAR:
```
Sr2CaTe
1.0
3.981 0.000 0.000
0.000 3.981 0.000
0.000 0.000 10.074
Sr Ca Te
2 1 1
Direct
0.000 0.000 0.000
0.500 0.500 0.329
0.000 0.000 0.632
0.500 0.500 0.798
```

Summary:
Magnetic moment = 0.0 Bohr magnetons per cell
Raw formation energy = -0.722 eV per atom
Space group = No. 99

***

[3]
DFT (GGA-PBEsol) results for a relaxed SrCa2TlTe crystal.

Cell and atoms, written as POSCAR:
```
SrCa2TlTe
1.0
6.286 0.000 0.000
0.000 6.286 0.000
0.000 0.000 5.645
Sr Ca Tl Te
1 2 1 1
Direct
0.000 0.000 0.000
0.000 0.500 0.000
0.500 0.000 0.000
0.000 0.000 0.500
0.500 0.500 0.500
```

Summary:
Magnetic moment = 1.4 Bohr magnetons per cell
Raw formation energy = 0.659 eV per atom
Space group = No. 123

***

[4]
DFT (GGA-PBEsol) results for a relaxed SrCaTl2 crystal.

Cell and atoms, written as POSCAR:
```
SrCaTl2
1.0
0.000 3.913 3.913
3.913 0.000 3.913
3.913 3.913 0.000
Sr Ca Tl
1 1 2
Direct
0.000 0.000 0.000
0.500 0.500 0.500
0.250 0.250 0.250
0.750 0.750 0.750
```

Summary:
Total DFT energy (no corrections) = -2.790 eV/atom
Magnetic moment = 0.0 Bohr magnetons per cell
Space group = No. 225

***

[5]
DFT (GGA-PBEsol) results for a relaxed SrCa2Tl crystal.

Cell and atoms, written as POSCAR:
```
SrCa2Tl
1.0
3.872 0.000 0.000
0.000 3.872 0.000
0.000 0.000 9.809
Sr Ca Tl
1 2 1
Direct
0.000 0.000 0.000
0.500 0.500 0.313
0.500 0.500 0.687
0.000 0.000 0.500
```

Summary:
Magnetic moment = 0.0 Bohr magnetons per cell
Space group = No. 123
Offset from the most stable computed form = 8 meV per atom

***

[6]
DFT (GGA-PBEsol) results for a relaxed SrCaTl crystal.

Cell and atoms, written as POSCAR:
```
SrCaTl
1.0
3.964 0.000 0.000
-1.982 3.433 0.000
0.000 0.000 8.247
Sr Ca Tl
1 1 1
Direct
0.000 0.000 0.000
0.667 0.333 0.420
0.333 0.667 0.698
```

Summary:
Total DFT energy (no corrections) = -2.395 eV/atom
Magnetic moment = 0.0 Bohr magnetons per cell
Space group = No. 156

***

[7]
DFT (GGA-PBEsol) results for a relaxed SrCa2Tl crystal.

Cell and atoms, written as POSCAR:
```
SrCa2Tl
1.0
-2.850 2.850 4.064
2.850 -2.850 4.064
2.850 2.850 -4.064
Sr Ca Tl
1 2 1
Direct
0.000 0.000 0.000
0.250 0.750 0.500
0.750 0.250 0.500
0.500 0.500 0.000
```

Summary:
Magnetic moment = 0.0 Bohr magnetons per cell
Space group = No. 139
Offset from the most stable computed form = 88 meV per atom

***

[8]
DFT (GGA-PBEsol) results for a relaxed SrCa2Tl crystal.

Cell and atoms, written as POSCAR:
```
SrCa2Tl
1.0
-1.989 2.972 6.112
1.989 -2.972 6.112
1.989 2.972 -6.112
Sr Ca Tl
1 2 1
Direct
0.000 0.000 0.000
0.294 0.794 0.500
0.706 0.206 0.500
0.500 0.500 0.000
```

Summary:
Magnetic moment = 0.0 Bohr magnetons per cell
Space group = No. 71
Offset from the most stable computed form = 6 meV per atom

***

[9]
DFT (GGA-PBEsol) results for a relaxed SrCaTl2 crystal.

Cell and atoms, written as POSCAR:
```
SrCaTl2
1.0
3.902 0.000 0.000
0.000 3.902 0.000
0.000 0.000 7.828
Sr Ca Tl
1 1 2
Direct
0.000 0.000 0.000
0.000 0.000 0.500
0.500 0.500 0.271
0.500 0.500 0.729
```

Summary:
Total DFT energy (no corrections) = -2.798 eV/atom
Magnetic moment = 0.0 Bohr magnetons per cell
Space group = No. 123

***

[10]
DFT (GGA-PBEsol) results for a relaxed SrCaTl crystal.

Cell and atoms, written as POSCAR:
```
SrCaTl
1.0
-1.967 1.967 6.823
1.967 -1.967 6.823
1.967 1.967 -6.823
Sr Ca Tl
1 1 1
Direct
0.000 0.000 0.000
0.277 0.277 0.000
0.650 0.650 0.000
```

Summary:
Total DFT energy (no corrections) = -2.539 eV/atom
Magnetic moment = 0.0 Bohr magnetons per cell
Space group = No. 107

***

[11]
DFT (GGA-PBEsol) results for a relaxed Sr2CaTl2 crystal.

Cell and atoms, written as POSCAR:
```
Sr2CaTl2
1.0
9.007 0.000 0.000
0.000 9.007 0.000
0.000 0.000 4.275
Sr Ca Tl
4 2 4
Direct
0.162 0.338 0.000
0.338 0.838 0.000
0.662 0.162 0.000
0.838 0.662 0.000
0.000 0.000 0.500
0.500 0.500 0.500
0.135 0.635 0.500
0.365 0.135 0.500
0.635 0.865 0.500
0.865 0.365 0.500
```

Summary:
Total DFT energy (no corrections) = -2.600 eV/atom
Magnetic moment = 0.0 Bohr magnetons per cell
Space group = No. 127

***

[12]
DFT (GGA-PBEsol) results for a relaxed SrCa2Tl crystal.

Cell and atoms, written as POSCAR:
```
SrCa2Tl
1.0
4.618 0.000 0.000
0.000 5.375 0.000
0.000 0.000 5.445
Sr Ca Tl
1 2 1
Direct
0.000 0.000 0.000
0.000 0.500 0.500
0.500 0.000 0.500
0.500 0.500 0.000
```

Summary:
Magnetic moment = 0.0 Bohr magnetons per cell
Space group = No. 47
Offset from the most stable computed form = 49 meV per atom